Sm3HoEr6Sc2 | PBE | optimized geometry

Cell: 6.069 6.069 11.566 Å, 95.01 95.01 119.97°
Sites, in units of the cell vectors:
Ho 0.000 0.000 0.000
Sm 0.833 0.167 0.500
Sm 0.167 0.833 0.500
Sm 0.500 0.500 0.500
Er 0.919 0.583 0.758
Er 0.745 0.745 0.242
Er 0.255 0.255 0.758
Er 0.081 0.417 0.242
Er 0.417 0.081 0.242
Er 0.583 0.919 0.758
Sc 0.333 0.667 0.000
Sc 0.667 0.333 0.000

The value obtained for the uncorrected energy is -4.859 eV per atom. Its magnetization is 0.00 μB/cell. The density comes out at 7813 kg/m3. The value obtained for the formation energy is 0.89 kcal/mol of atoms.

---

ZrRe2Si | PBE | optimized geometry

Cell: 4.359 3.011 5.070 Å, 76.05 90.00 90.00°
Sites, in units of the cell vectors:
Re 0.000 0.021 0.053
Re 0.500 0.362 0.227
Zr 0.500 0.780 0.714
Si 0.000 0.338 0.506

For the formation energy (no corrections), the calculation gives -0.18 eV per atom. The value obtained for the uncorrected energy is -9.898 eV per atom. Its magnetization is 0.00 μB/cell. The density comes out at 12644 kg/m3.

---

NaCaAlTl | PBE | optimized geometry

Cell: 5.315 5.315 5.315 Å, 60.00 60.00 60.00°
Sites, in units of the cell vectors:
Tl 0.750 0.750 0.750
Na 0.000 0.000 0.000
Al 0.250 0.250 0.250
Ca 0.500 0.500 0.500

The value obtained for the uncorrected energy is -2.429 eV per atom. Its magnetization is 0.00 μB/cell. The density comes out at 4604 kg/m3. The value obtained for the formation energy is -1.65 kcal/mol of atoms.

---

Rb2ScSn2 | PBE | optimized geometry

Cell: 7.772 7.772 6.305 Å, 90.00 90.00 90.00°
Sites, in units of the cell vectors:
Sc 0.000 0.000 0.000
Sc 0.500 0.500 0.000
Sn 0.361 0.861 0.000
Sn 0.639 0.139 0.000
Sn 0.139 0.361 0.000
Sn 0.861 0.639 0.000
Rb 0.668 0.832 0.500
Rb 0.332 0.168 0.500
Rb 0.168 0.668 0.500
Rb 0.832 0.332 0.500

The value obtained for the uncorrected energy is -3.246 eV per atom. Its magnetization is 0.00 μB/cell. The density comes out at 3953 kg/m3. The value obtained for the formation energy is 0.20 kcal/mol of atoms.

---

Na2CeAlO4 | PBE | optimized geometry

Cell: 3.284 5.696 5.872 Å, 109.10 90.00 90.00°
Each line ends with the local moment (μB).
Sites, in units of the cell vectors:
O 0.000 0.212 0.801  -0.01
O 0.500 0.207 0.199  -0.01
O 0.000 0.788 0.199  -0.01
O 0.500 0.793 0.801  -0.01
Al 0.000 0.000 0.000  0.00
Na 0.500 0.000 0.500  0.00
Na 0.000 0.500 0.500  0.00
Ce 0.500 0.500 0.000  0.80

For the formation energy (no corrections), the calculation gives -2.35 eV per atom. The value obtained for the uncorrected energy is -6.371 eV per atom. Its magnetization is 0.86 μB/cell. The density comes out at 4433 kg/m3.

---

Ho3Si2 | PBE | optimized geometry

Cell: 4.319 5.756 5.756 Å, 65.54 67.96 67.96°
Sites, in units of the cell vectors:
Si 0.500 0.698 0.302
Si 0.500 0.302 0.698
Ho 0.000 0.000 0.000
Ho 0.800 0.700 0.700
Ho 0.200 0.300 0.300

For the formation energy (no corrections), the calculation gives -0.64 eV per atom. The value obtained for the uncorrected energy is -5.555 eV per atom. Its magnetization is 0.00 μB/cell. The density comes out at 7850 kg/m3.